LiHg2Ru, optimized geometry, DFT PBE; crystal system = orthorhombic; volume = 69 Å³/cell; formation enthalpy at 0 K = 0.173 eV per atom; total magnetization = 0.84 Bohr magnetons per cell; excess energy over the best structure of this formula in the dataset = 114 meV/atom; space group = No. 47
1.0
-0.411 1.085 2.974
1.199 -2.697 1.150
7.447 0.024 1.020
Hg Li Ru
2 1 1
Direct
0.000 0.990 0.010
0.000 0.510 0.490
0.500 0.250 0.250
0.500 0.750 0.750

Tb2HoRh, optimized geometry, DFT PBE; crystal system = trigonal; volume = 119 Å³/cell; formation enthalpy at 0 K = -0.130 eV per atom; total magnetization = 0.47 Bohr magnetons per cell; excess energy over the best structure of this formula in the dataset = 393 meV/atom; space group = No. 166
1.0
-1.181 2.628 -2.190
-3.232 1.522 0.579
3.031 8.581 5.671
Rh Tb Ho
1 2 1
Direct
0.500 0.500 0.500
0.110 0.110 0.670
0.890 0.890 0.330
0.000 0.000 0.000

Ho2FeCo, optimized geometry, DFT PBE; crystal system = cubic; volume = 74 Å³/cell; formation enthalpy at 0 K = 0.020 eV per atom; total magnetization = 1.64 Bohr magnetons per cell; excess energy over the best structure of this formula in the dataset = 160 meV/atom; space group = No. 225
1.0
-1.787 -1.873 -3.950
2.855 -1.073 -3.606
0.859 -4.520 -1.068
Co Ho Fe
1 2 1
Direct
0.500 0.500 0.500
0.250 0.250 0.250
0.750 0.750 0.750
0.000 0.000 0.000